(1)
## IrSeF2 (GGA-PBE)

Data for a relaxed IrSeF2 crystal.

The structure in extended XYZ format:
```
8
Lattice="-0.979 6.563 4.648 -8.020 -1.142 -0.078 -4.329 1.379 4.202" Properties=species:S:1:pos:R:3 pbc="T T T"
F -4.491 6.722 7.215
F -2.866 5.441 4.751
F -5.232 3.265 4.879
F -7.027 5.877 5.426
Se -4.500 2.711 2.285
Se -8.425 1.474 3.205
Ir -4.904 5.326 5.568
Ir 0.000 0.000 0.000
```

Results
Its energy above the most stable polymorph in this dataset is 312.1 meV/atom. The value obtained for the energy relative to the elements, uncorrected is -282 meV/atom. The space group is I-42d. The volume is 76.8 Å³/f.u. As for the magnetization: 0.00 μB/f.u.

---

(2)
## Pu3Sb4Ir3 (GGA-PBE)

Data for a relaxed Pu3Sb4Ir3 crystal.

The structure in extended XYZ format:
```
20
Lattice="7.941 0.000 -2.808 -3.971 6.878 -2.808 0.000 0.000 8.423" Properties=species:S:1:pos:R:3 pbc="T T T"
Sb 0.662 5.732 0.468
Sb 2.647 2.293 1.872
Sb 4.633 3.439 -3.744
Sb 0.000 0.000 2.808
Sb 0.000 0.000 7.020
Sb -1.324 4.585 3.276
Sb 0.662 3.439 -2.340
Sb 4.632 1.146 -0.936
Pu 5.956 1.719 2.106
Pu -1.489 6.018 -2.106
Pu 1.985 5.158 3.510
Pu -0.496 2.579 0.702
Pu 3.474 4.298 -0.702
Pu 2.482 0.860 4.914
Ir -1.985 5.158 0.702
Ir 1.489 6.018 -2.106
Ir 1.985 1.719 -0.702
Ir 5.460 0.860 4.914
Ir 0.496 2.579 3.510
Ir 4.467 4.298 2.106
```

Results
The value obtained for the energy relative to the elements, uncorrected is -521 meV/atom. The space group is I-43d. The volume is 230.0 Å³/f.u. As for the magnetization: 14.70 μB/f.u.

---

(3)
## Re2SiTc (GGA-PBE)

Data for a relaxed Re2SiTc crystal.

The structure in extended XYZ format:
```
4
Lattice="-1.669 -0.487 2.225 3.192 -0.226 2.345 -0.294 5.057 0.886" Properties=species:S:1:pos:R:3 pbc="T T T"
Re -0.005 0.087 0.015
Re 0.689 0.896 2.505
Tc 0.549 3.299 2.926
Si -0.150 2.590 0.454
```

Results
The value obtained for the energy relative to the elements, uncorrected is -50 meV/atom. The space group is Pmm2. The volume is 57.6 Å³/f.u. As for the magnetization: 0.00 μB/f.u.